The following is a DFT calculation (PBE) of a relaxed Mn2AlFe crystal.

Formation energy, eV/atom: 0.02
Volume, Å³ per cell: 141.2

Lattice parameters (Å, degrees): 2.5725 2.5725 24.6381 90.00 90.00 120.00
Closest atoms and distances in Å follow each position.
Space group R3m (No. 160, hexagonal axes)
Inequivalent atoms, fractional coordinates:
1 Mn 0.0000 0.0000 0.0000 x3  9 Mn 2.40-2.57, 3 Al 2.59
2 Mn 0.0000 0.0000 0.2569 x3  9 Mn 2.40-2.57, 3 Fe 2.58
3 Al 0.0000 0.0000 0.7529 x3  3 Fe 2.57, 6 Al 2.57, 3 Mn 2.59
4 Fe 0.0000 0.0000 0.5048 x3  3 Al 2.57, 6 Fe 2.57, 3 Mn 2.58